# 1
Ce6InHg2 | PBE | relaxed

For the energy above the lowest structure with this stoichiometry, the calculation gives 0.000 eV per atom. The formation energy is -0.168 eV/atom. The calculation puts the total magnetization at 0.4734 μB per atom.

The structure belongs to space group P6/mmm (No. 191); the cell edges are 9.1328, 9.1328 and 3.0641 Å and the angles 90.00°, 90.00° and 120.00°. The asymmetric unit holds Ce at (0.0000, 0.3372, 0.0000), In at (0.0000, 0.0000, 0.5000) and Hg at (0.3333, 0.6667, 0.5000).

# 2
V2ZnGa | PBE | relaxed

The formation energy is 0.321 eV/atom. The calculation puts the total magnetization at 0.0001 μB per atom.

The structure belongs to space group I-42d (No. 122); the cell edges are 6.844, 6.844 and 5.137 Å and the angles 90.00°, 90.00° and 90.00°. The asymmetric unit holds V at (0.249, 0.250, 0.125), Zn at (0.000, 0.000, 0.500) and Ga at (0.000, 0.000, 0.000).

# 3
Y2InTe | PBE | relaxed

For the energy above the lowest structure with this stoichiometry, the calculation gives 0.262 eV per atom. The calculation puts the total magnetization at 0.0006 μB per atom. Its formation energy without anion corrections is -0.69 eV/atom.

The structure belongs to space group P4/mmm (No. 123); the cell edges are 5.470, 5.470 and 3.696 Å and the angles 90.00°, 90.00° and 90.00°. The asymmetric unit holds Y at (0.000, 0.500, 0.000), In at (0.000, 0.000, 0.500) and Te at (0.500, 0.500, 0.500).

# 4
Pm2TiAg | PBE | relaxed

For the energy above the lowest structure with this stoichiometry, the calculation gives 0.381 eV per atom. The formation energy is 0.413 eV/atom. The calculation puts the total magnetization at 0.3732 μB per atom.

The structure belongs to space group R-3m (No. 166, hexagonal axes); the cell edges are 3.2493, 3.2493 and 33.8012 Å and the angles 90.00°, 90.00° and 120.00°. The asymmetric unit holds Pm at (0.0000, 0.0000, 0.0879), Ti at (0.0000, 0.0000, 0.0000) and Ag at (0.0000, 0.0000, 0.5000).

# 5
AcCeDyHg | PBE | relaxed

The formation energy is 0.074 eV/atom. The calculation puts the total magnetization at 0.4622 μB per atom.

The structure belongs to space group F-43m (No. 216); the cell edges are 7.898, 7.898 and 7.898 Å and the angles 90.00°, 90.00° and 90.00°. The asymmetric unit holds Ac at (0.000, 0.000, 0.000), Ce at (0.250, 0.250, 0.250), Dy at (0.250, 0.250, 0.750) and Hg at (0.000, 0.000, 0.500).

# 6
ErBeCu6 | PBE | relaxed

The formation energy is 0.003 eV/atom. The calculation puts the total magnetization at 0.0000 μB per atom.

The structure belongs to space group P4/mmm (No. 123); the cell edges are 3.768, 3.768 and 8.062 Å and the angles 90.00°, 90.00° and 90.00°. The asymmetric unit holds Er at (0.000, 0.000, 0.000), Be at (0.000, 0.000, 0.500), Cu at (0.000, 0.500, 0.342) and Cu at (0.500, 0.500, 0.148).

Q: What is the formula in the third record?
A: Y2InTe